RbZr2Ga2 | PBE | optimized geometry

Values from the calculation:
The excess energy over the best structure of this formula in the dataset comes out at 0.3172 eV per atom. The calculation puts the formation energy from the elements at 293 meV/atom.

a b c (Å): 5.1107 5.1107 11.4658
angles (deg): 90.00 90.00 90.00
Closest atoms and distances in Å follow each position.
Fractional positions:
Rb1 0.0000 0.0000 0.0000  10 Zr 3.76-4.12, 8 Ga 3.84
Rb2 0.5000 0.5000 0.5000  10 Zr 3.76-4.12, 8 Ga 3.84
Zr1 0.0000 0.0000 0.3277  4 Ga 2.71
Zr2 0.0000 0.0000 0.6723  4 Ga 2.71
Zr3 0.5000 0.5000 0.1723  4 Ga 2.71
Zr4 0.5000 0.5000 0.8277  4 Ga 2.71
Ga1 0.0000 0.5000 0.2500  4 Zr 2.71
Ga2 0.0000 0.5000 0.7500  4 Zr 2.71
Ga3 0.5000 0.0000 0.2500  4 Zr 2.71
Ga4 0.5000 0.0000 0.7500  4 Zr 2.71